Entry 1:
VASP calculation (PBE) on crystalline Tb3Sm2Ho6In at its relaxed geometry.

Computed properties:
The value obtained for the total moment is 0.001 Bohr magnetons per cell. The value obtained for the total energy is -4.513 eV per atom. The volume is 30.68 Å³/atom.

a b c (Å): 6.083 6.083 11.673
angles (deg): 95.00 95.00 120.04
Positions (direct):
Ho 0.590 0.918 0.752
Ho 0.755 0.755 0.249
Ho 0.245 0.245 0.751
Tb 0.833 0.167 0.500
Ho 0.082 0.410 0.248
In 0.000 0.000 0.000
Ho 0.410 0.082 0.248
Tb 0.500 0.500 0.500
Sm 0.666 0.334 0.000
Sm 0.334 0.666 0.000
Ho 0.918 0.590 0.752
Tb 0.167 0.833 0.500



Entry 2:
VASP calculation (PBE) on crystalline TbSmHo2In4 at its relaxed geometry.

Computed properties:
The value obtained for the total moment is 0.000 Bohr magnetons per cell. The value obtained for the total energy is -4.150 eV per atom. The volume is 26.86 Å³/atom.

a b c (Å): 5.332 5.332 9.253
angles (deg): 73.25 73.25 60.00
Positions (direct):
Tb 0.500 0.500 0.500
In 0.874 0.874 0.377
Ho 0.250 0.250 0.250
Ho 0.750 0.750 0.750
Sm 0.000 0.000 0.000
In 0.624 0.624 0.127
In 0.376 0.376 0.873
In 0.126 0.126 0.623



Entry 3:
VASP calculation (PBE) on crystalline Tb2SmHoIn2 at its relaxed geometry.

Computed properties:
The value obtained for the total moment is 0.000 Bohr magnetons per cell. The value obtained for the total energy is -4.362 eV per atom. The volume is 29.03 Å³/atom.

a b c (Å): 5.237 6.751 9.852
angles (deg): 90.00 90.00 90.00
Positions (direct):
Ho 0.500 0.695 0.317
Sm 0.000 0.473 0.537
In 0.500 0.722 0.643
In 0.500 0.222 0.357
Tb 0.000 0.321 0.178
In 0.000 0.795 0.144
Ho 0.500 0.195 0.683
In 0.000 0.295 0.856
Tb 0.000 0.821 0.822
Sm 0.000 0.973 0.463
Tb 0.500 0.540 0.961
Tb 0.500 0.040 0.039



Entry 4:
VASP calculation (PBE) on crystalline Tb2Sm6Ho3In at its relaxed geometry.

Computed properties:
The value obtained for the total moment is 0.000 Bohr magnetons per cell. The value obtained for the total energy is -4.546 eV per atom. The volume is 31.60 Å³/atom.

a b c (Å): 6.158 6.158 11.740
angles (deg): 95.04 95.04 120.09
Positions (direct):
Ho 0.500 0.500 0.500
In 0.000 0.000 0.000
Sm 0.410 0.083 0.249
Sm 0.755 0.755 0.250
Tb 0.666 0.334 0.000
Sm 0.083 0.410 0.249
Sm 0.245 0.245 0.750
Ho 0.167 0.833 0.500
Sm 0.917 0.590 0.751
Tb 0.334 0.666 0.000
Ho 0.833 0.167 0.500
Sm 0.590 0.917 0.751



Entry 5:
VASP calculation (PBE) on crystalline Tb2Sm3Ho6In at its relaxed geometry.

Computed properties:
The value obtained for the total moment is 0.000 Bohr magnetons per cell. The value obtained for the total energy is -4.512 eV per atom. The volume is 30.86 Å³/atom.

a b c (Å): 6.105 6.105 11.657
angles (deg): 95.02 95.02 120.01
Positions (direct):
Ho 0.246 0.246 0.754
Sm 0.500 0.500 0.500
Ho 0.590 0.918 0.755
Ho 0.082 0.410 0.245
Sm 0.167 0.833 0.500
Ho 0.918 0.590 0.755
Ho 0.410 0.082 0.245
Tb 0.666 0.334 0.000
Ho 0.754 0.754 0.246
Sm 0.833 0.167 0.500
Tb 0.334 0.666 0.000
In 0.000 0.000 0.000



Entry 6:
VASP calculation (PBE) on crystalline TbSm2Ho5In at its relaxed geometry.

Computed properties:
The value obtained for the total moment is 0.000 Bohr magnetons per cell. The value obtained for the total energy is -4.421 eV per atom. The volume is 31.46 Å³/atom.

a b c (Å): 5.352 10.420 10.506
angles (deg): 90.00 90.00 104.88
Positions (direct):
Sm 0.884 0.767 0.217
Sm 0.116 0.233 0.717
Ho 0.500 0.000 0.258
Ho 0.988 0.977 0.508
Sm 0.116 0.232 0.299
Ho 0.711 0.421 0.809
In 0.405 0.809 0.508
Ho 0.290 0.580 0.707
Sm 0.884 0.768 0.799
In 0.595 0.191 0.008
Ho 0.384 0.769 0.008
Ho 0.500 0.000 0.758
Tb 0.208 0.416 0.008
Tb 0.792 0.584 0.508
Ho 0.710 0.420 0.207
Ho 0.616 0.231 0.508
Ho 0.012 0.023 0.008
Ho 0.289 0.579 0.309



Entry 7:
VASP calculation (PBE) on crystalline Tb5SmHo2In at its relaxed geometry.

Computed properties:
The value obtained for the total moment is 0.000 Bohr magnetons per cell. The value obtained for the total energy is -4.422 eV per atom. The volume is 31.78 Å³/atom.

a b c (Å): 5.393 10.376 10.585
angles (deg): 90.00 90.00 105.06
Positions (direct):
Tb 0.987 0.975 0.508
Ho 0.884 0.768 0.216
Sm 0.207 0.414 0.008
Tb 0.710 0.420 0.807
Tb 0.290 0.580 0.307
Ho 0.884 0.769 0.801
Sm 0.793 0.586 0.508
Tb 0.710 0.419 0.209
Ho 0.116 0.231 0.301
Tb 0.290 0.581 0.709
Tb 0.500 0.000 0.258
Ho 0.116 0.232 0.716
Tb 0.500 0.000 0.758
Tb 0.013 0.025 0.008
In 0.405 0.811 0.508
Tb 0.385 0.769 0.008
In 0.595 0.189 0.008
Tb 0.615 0.231 0.508



Entry 8:
VASP calculation (PBE) on crystalline Tb6Sm3Ho2In at its relaxed geometry.

Computed properties:
The value obtained for the total moment is 0.001 Bohr magnetons per cell. The value obtained for the total energy is -4.525 eV per atom. The volume is 31.25 Å³/atom.

a b c (Å): 6.141 6.141 11.668
angles (deg): 95.06 95.06 120.05
Positions (direct):
Tb 0.753 0.753 0.245
Tb 0.591 0.919 0.756
Sm 0.500 0.500 0.500
In 0.000 0.000 0.000
Tb 0.919 0.591 0.756
Tb 0.409 0.081 0.244
Tb 0.247 0.247 0.755
Ho 0.334 0.666 0.000
Sm 0.167 0.833 0.500
Ho 0.666 0.334 0.000
Tb 0.081 0.409 0.244
Sm 0.833 0.167 0.500



Entry 9:
VASP calculation (PBE) on crystalline TbSm5HoIn2 at its relaxed geometry.

Computed properties:
The value obtained for the total moment is 0.000 Bohr magnetons per cell. The value obtained for the total energy is -4.272 eV per atom. The volume is 32.53 Å³/atom.

a b c (Å): 7.788 7.788 11.115
angles (deg): 110.51 110.51 90.00
Positions (direct):
Tb 0.750 0.750 0.500
Sm 0.000 0.000 0.000
Sm 0.327 0.827 0.253
Ho 0.250 0.750 0.500
Tb 0.250 0.250 0.500
Sm 0.673 0.173 0.747
Sm 0.574 0.673 0.747
Ho 0.750 0.250 0.500
In 0.878 0.622 0.000
Sm 0.074 0.574 0.747
In 0.622 0.122 0.000
Sm 0.426 0.327 0.253
Sm 0.827 0.926 0.253
Sm 0.173 0.074 0.747
Sm 0.926 0.426 0.253
In 0.122 0.378 0.000
Sm 0.500 0.500 0.000
In 0.378 0.878 0.000



Entry 10:
VASP calculation (PBE) on crystalline SmHo3In4Te8 at its relaxed geometry.

Computed properties:
The value obtained for the total moment is 0.000 Bohr magnetons per cell. The value obtained for the total energy is -4.377 eV per atom. The volume is 34.29 Å³/atom. The formation energy (no corrections) comes out at -968 meV/atom.

a b c (Å): 8.836 9.585 8.837
angles (deg): 117.47 120.00 90.00
Positions (direct):
Te 0.265 0.280 0.022
Te 0.243 0.720 0.486
In 0.000 0.000 0.500
Ho 0.500 0.500 0.500
Ho 0.000 0.500 0.500
Te 0.261 0.283 0.522
In 0.000 0.000 0.000
Ho 0.500 0.500 0.000
Sm 0.000 0.500 0.000
Te 0.739 0.717 0.478
Te 0.757 0.280 0.514
In 0.500 0.000 0.000
Te 0.243 0.720 0.978
Te 0.757 0.280 0.022
In 0.500 0.000 0.500
Te 0.735 0.720 0.978



Entry 11:
VASP calculation (PBE) on crystalline Sm3HoIn3Te8 at its relaxed geometry.

Computed properties:
The value obtained for the total moment is 0.000 Bohr magnetons per cell. The value obtained for the total energy is -4.489 eV per atom. The volume is 35.89 Å³/atom. The formation energy (no corrections) comes out at -1017 meV/atom.

a b c (Å): 8.872 8.871 9.414
angles (deg): 118.11 90.00 120.00
Positions (direct):
In 0.500 0.500 0.000
Te 0.748 0.988 0.727
Sm 0.000 0.500 0.500
Sm 0.500 0.000 0.500
In 0.000 0.500 0.000
Te 0.240 0.988 0.727
Te 0.760 0.520 0.273
Ho 0.000 0.000 0.500
Te 0.240 0.480 0.727
Te 0.256 0.512 0.268
Te 0.744 0.488 0.732
In 0.000 0.000 0.000
Te 0.760 0.012 0.273
Sm 0.500 0.500 0.500
Te 0.252 0.012 0.273



Entry 12:
VASP calculation (PBE) on crystalline SmHoIn2Te4 at its relaxed geometry.

Computed properties:
The value obtained for the total moment is 0.000 Bohr magnetons per cell. The value obtained for the total energy is -4.391 eV per atom. The volume is 34.60 Å³/atom. The formation energy (no corrections) comes out at -974 meV/atom.

a b c (Å): 4.439 7.689 8.503
angles (deg): 107.53 90.00 90.00
Positions (direct):
Ho 0.000 0.000 0.000
In 0.000 0.500 0.500
Sm 0.500 0.500 0.000
Te 0.500 0.766 0.781
Te 0.500 0.234 0.219
Te 0.000 0.254 0.777
Te 0.000 0.746 0.223
In 0.500 0.000 0.500



Entry 13:
VASP calculation (PBE) on crystalline SmHo3In3Te8 at its relaxed geometry.

Computed properties:
The value obtained for the total moment is 0.000 Bohr magnetons per cell. The value obtained for the total energy is -4.454 eV per atom. The volume is 34.99 Å³/atom. The formation energy (no corrections) comes out at -1001 meV/atom.

a b c (Å): 8.776 8.776 9.359
angles (deg): 117.97 90.00 120.00
Positions (direct):
Ho 0.000 0.500 0.500
In 0.500 0.500 0.000
Te 0.735 0.981 0.727
Te 0.246 0.981 0.727
Te 0.742 0.483 0.725
In 0.000 0.000 0.000
In 0.000 0.500 0.000
Te 0.246 0.492 0.727
Te 0.754 0.019 0.273
Te 0.265 0.019 0.273
Ho 0.500 0.500 0.500
Sm 0.000 0.000 0.500
Te 0.258 0.517 0.275
Ho 0.500 0.000 0.500
Te 0.754 0.508 0.273



Entry 14:
VASP calculation (PBE) on crystalline SmHoTiIn at its relaxed geometry.

Computed properties:
The value obtained for the total moment is 2.584 Bohr magnetons per cell. The value obtained for the total energy is -5.061 eV per atom. The volume is 26.17 Å³/atom.

a b c (Å): 5.290 5.290 5.290
angles (deg): 60.00 60.00 60.00
Last column: magnetic moment on the atom in μB.
Positions (direct):
Ti 0.250 0.250 0.250  1.58
Ho 0.000 0.000 0.000  0.29
In 0.750 0.750 0.750  -0.04
Sm 0.500 0.500 0.500  0.16



Entry 15:
VASP calculation (PBE) on crystalline SmHo5TlIn2 at its relaxed geometry.

Computed properties:
The value obtained for the total moment is 0.000 Bohr magnetons per cell. The value obtained for the total energy is -3.983 eV per atom. The volume is 28.80 Å³/atom.

a b c (Å): 8.550 8.550 9.319
angles (deg): 117.30 117.30 90.00
Positions (direct):
In 0.611 0.111 0.000
Sm 0.250 0.750 0.500
Ho 0.000 0.000 0.000
Ho 0.158 0.075 0.733
In 0.111 0.389 0.000
Tl 0.250 0.250 0.500
Ho 0.342 0.842 0.267
Ho 0.575 0.658 0.733
Ho 0.658 0.158 0.733
Ho 0.075 0.575 0.733
Ho 0.425 0.342 0.267
Sm 0.750 0.250 0.500
Ho 0.842 0.925 0.267
Ho 0.925 0.425 0.267
In 0.889 0.611 0.000
Ho 0.500 0.500 0.000
Tl 0.750 0.750 0.500
In 0.389 0.889 0.000



Entry 16:
VASP calculation (PBE) on crystalline SmHoTlIn at its relaxed geometry.

Computed properties:
The value obtained for the total moment is 0.000 Bohr magnetons per cell. The value obtained for the total energy is -4.013 eV per atom. The volume is 27.58 Å³/atom.

a b c (Å): 5.384 5.384 5.384
angles (deg): 60.00 60.00 60.00
Positions (direct):
Sm 0.250 0.250 0.250
Ho 0.750 0.750 0.750
Tl 0.000 0.000 0.000
In 0.500 0.500 0.500



Entry 17:
VASP calculation (PBE) on crystalline Sm6Ho2Tm3In at its relaxed geometry.

Computed properties:
The value obtained for the total moment is 0.000 Bohr magnetons per cell. The value obtained for the total energy is -4.505 eV per atom. The volume is 31.21 Å³/atom.

a b c (Å): 6.134 6.134 11.680
angles (deg): 95.04 95.04 120.06
Positions (direct):
Tm 0.833 0.167 0.500
Tm 0.500 0.500 0.500
Sm 0.755 0.755 0.250
Sm 0.411 0.083 0.249
Sm 0.083 0.411 0.249
Ho 0.334 0.666 0.000
Ho 0.666 0.334 0.000
Sm 0.589 0.917 0.751
Sm 0.917 0.589 0.751
Sm 0.245 0.245 0.750
In 0.000 0.000 0.000
Tm 0.167 0.833 0.500



Entry 18:
VASP calculation (PBE) on crystalline Sm3Ho6Tm2In at its relaxed geometry.

Computed properties:
The value obtained for the total moment is 0.005 Bohr magnetons per cell. The value obtained for the total energy is -4.476 eV per atom. The volume is 30.61 Å³/atom.

a b c (Å): 6.103 6.103 11.570
angles (deg): 95.07 95.07 120.02
Positions (direct):
Ho 0.080 0.409 0.243
Ho 0.920 0.591 0.757
Sm 0.167 0.833 0.500
Ho 0.248 0.248 0.756
Ho 0.752 0.752 0.244
Sm 0.500 0.500 0.500
In 0.000 0.000 0.000
Ho 0.409 0.080 0.243
Tm 0.666 0.334 0.000
Tm 0.334 0.666 0.000
Ho 0.591 0.920 0.757
Sm 0.833 0.167 0.500



Entry 19:
VASP calculation (PBE) on crystalline Sm2Ho2Tm2In at its relaxed geometry.

Computed properties:
The value obtained for the total moment is 0.001 Bohr magnetons per cell. The value obtained for the total energy is -4.345 eV per atom. The volume is 31.05 Å³/atom.

a b c (Å): 3.506 6.095 11.510
angles (deg): 111.67 90.00 106.71
Positions (direct):
Tm 0.251 0.501 0.368
Sm 0.530 0.061 0.756
Sm 0.470 0.939 0.244
Ho 0.324 0.649 0.914
Tm 0.749 0.499 0.632
In 0.000 0.000 0.500
Ho 0.676 0.351 0.086



Entry 20:
VASP calculation (PBE) on crystalline SmHoTm2In4 at its relaxed geometry.

Computed properties:
The value obtained for the total moment is 0.000 Bohr magnetons per cell. The value obtained for the total energy is -4.095 eV per atom. The volume is 26.48 Å³/atom.

a b c (Å): 5.306 5.306 9.215
angles (deg): 73.27 73.27 60.00
Positions (direct):
Sm 0.000 0.000 0.000
In 0.874 0.874 0.378
In 0.126 0.126 0.622
Ho 0.500 0.500 0.500
In 0.376 0.376 0.872
Tm 0.250 0.250 0.251
In 0.624 0.624 0.128
Tm 0.750 0.750 0.749